Entry one
Re2IrPt (PBE-GGA, relaxed); total magnetic moment = 0.0 μB/cell; calculated volume = 59.8 Å³/f.u.
1.0
2.753 0.000 -0.003
0.000 2.753 0.000
0.017 0.000 15.796
Pt Re Ir
2 4 2
Direct
0.750 0.750 0.569
0.250 0.250 0.431
0.250 0.250 0.941
0.750 0.750 0.308
0.250 0.250 0.692
0.750 0.750 0.059
0.750 0.750 0.813
0.250 0.250 0.187

Entry two
Re2IrPt (PBE-GGA, relaxed); total magnetic moment = 0.0 μB/cell; calculated volume = 59.3 Å³/f.u.
1.0
-3.984 -1.491 -1.248
1.158 -1.323 -2.118
0.601 -3.939 2.789
Re Ir Pt
2 1 1
Direct
0.000 0.125 0.968
0.500 0.125 0.287
0.000 0.625 0.458
0.500 0.625 0.787

Entry three
Re2IrPt (PBE-GGA, relaxed); total magnetic moment = 0.0 μB/cell; calculated volume = 60.0 Å³/f.u.
1.0
9.172 -0.002 -0.001
8.755 2.735 -0.001
8.755 1.335 2.387
Re Ir Pt
2 1 1
Direct
0.249 0.249 0.249
0.999 0.999 0.999
0.503 0.503 0.503
0.749 0.749 0.749

Of the structures shown above, entry two is the most stable.